DFT (PBE with a Hubbard U) results for an optimized crystal structure of CoHgTeO.

abc: 3.021 6.007 17.455
angles: 90.00 90.00 90.00
Space group Cmc2_1 (No. 36)
Unique sites:
Co  0.000  0.197  0.000 [4 per cell]
Hg  0.000  0.436  0.176 [4 per cell]
Te  0.000  0.221  0.356 [4 per cell]
O  0.000  0.491  0.529 [4 per cell]

## Properties
ΔE to the lowest computed polymorph in meV/atom: 334.5

DFT (PBE with a Hubbard U) results for an optimized crystal structure of CoHgTeO.

abc: 4.170 4.170 10.371
angles: 90.00 90.00 90.00
Space group P4/nmm (No. 129, origin choice 2)
Unique sites:
Co  0.250  0.250  0.002 [2 per cell]
Hg  0.250  0.750  0.500 [2 per cell]
Te  0.250  0.250  0.698 [2 per cell]
O  0.250  0.750  0.000 [2 per cell]

## Properties
ΔE to the lowest computed polymorph in meV/atom: 156.8